A plane-wave DFT calculation with PBE-GGA was carried out for a relaxed structure of Pu2TlIn9.

a b c (Å): 4.663 4.663 14.466
angles (deg): 90.00 90.00 90.00
Positions (direct):
Pu1 0.000 0.000 0.162
Pu2 0.000 0.000 0.838
Tl1 0.000 0.000 0.500
In1 0.000 0.500 0.000
In2 0.000 0.500 0.322
In3 0.000 0.500 0.678
In4 0.500 0.000 0.000
In5 0.500 0.000 0.322
In6 0.500 0.000 0.678
In7 0.500 0.500 0.158
In8 0.500 0.500 0.500
In9 0.500 0.500 0.842

Properties
As for the space group: P4/mmm (123). Its formation energy is -2.660 kcal/mol of atoms.